This record from the Alexandria database describes a relaxed Cr2SnF crystal. The functional is GGA+U.

Cell lengths 4.6826, 4.6826, 4.6826 Å; angles 60.00, 60.00, 60.00 degrees
Last column: nearest neighbours and their distance in Å.
Element x y z (fractional)
Cr 0.2500 0.2500 0.2500  4 Sn 2.87, 4 F 2.87
Cr 0.7500 0.7500 0.7500  4 Sn 2.87, 4 F 2.87
F 0.0000 0.0000 0.0000  8 Cr 2.87
Sn 0.5000 0.5000 0.5000  8 Cr 2.87

Calculated values
The space group is Fm-3m, No. 225. The distance to the lowest polymorph of the same formula is 1.05 eV/f.u. The value obtained for the density of states at the Fermi level is 3.34 states/eV/cell. The calculated volume comes out at 18.15 Å³/atom. As for the raw total energy: -5.3805 eV/atom.